The following is a DFT calculation (PBE) of an optimized crystal structure of KTlFe.

Computed properties:
- Fermi-level density of states (states/eV/f.u.) = 5.20
- energy above the lowest structure with this stoichiometry (eV/atom) = 0.243
- size of the total moment (μB/f.u.) = 2.651
- space-group type = No. 156
- E_form (eV/f.u.) = 2.4

Lattice parameters (Å, degrees): 3.352 3.352 8.130 90.00 90.00 120.00
Element x y z (fractional)
Fe1 0.000 0.000 0.971
K1 0.667 0.333 0.323
Tl1 0.333 0.667 0.705